Entry 1:
Below is a relaxed structure of CsSBr2Cl, with properties calculated at the GGA-PBE level.

E_form (uncorrected) = -0.6298 eV per atom
total magnetic moment = 0.0 μB per cell
DFT total energy = -13.3 eV/f.u.
Fermi-level density of states = 0.52 states/eV per atom

a = 5.237 Å, b = 5.237 Å, c = 5.562 Å
α = 90.00°, β = 90.00°, γ = 90.00°
Space group P4/mmm (No. 123)
Asymmetric unit:
Cs1 0.000 0.000 0.000
S1 0.500 0.500 0.500
Br1 0.000 0.500 0.500
Cl1 0.500 0.500 0.000


Entry 2:
Below is a relaxed structure of Tm3ScAl8, with properties calculated at the GGA-PBE level.

excess energy over the best structure of this formula in the dataset = 0.0 meV/atom
total magnetic moment = 0.0 μB per cell
DFT total energy = -55.6 eV/f.u.
formation enthalpy at 0 K = -495 meV/atom
Fermi-level density of states = 0.77 states/eV per atom

a = 5.4677 Å, b = 5.4677 Å, c = 26.9163 Å
α = 90.00°, β = 90.00°, γ = 120.00°
Space group R3m (No. 160, hexagonal axes)
Asymmetric unit:
Tm1 0.0000 0.0000 0.0000
Tm2 0.0000 0.0000 0.1253
Tm3 0.0000 0.0000 0.6238
Sc1 0.0000 0.0000 0.5003
Al1 0.0000 0.0000 0.3122
Al2 0.0000 0.0000 0.8125
Al3 0.9997 0.4998 0.5616
Al4 0.0005 0.5002 0.0630


Entry 3:
Below is a relaxed structure of SbTe2Rh, with properties calculated at the GGA-PBE level.

E_form (uncorrected) = 0.3843 eV per atom
total magnetic moment = 0.0 μB per cell
DFT total energy = -16.2 eV/f.u.
Fermi-level density of states = 0.93 states/eV per atom

a = 3.1820 Å, b = 3.1820 Å, c = 34.5183 Å
α = 90.00°, β = 90.00°, γ = 120.00°
Space group R-3m (No. 166, hexagonal axes)
Asymmetric unit:
Sb1 0.0000 0.0000 0.0000
Te1 0.0000 0.0000 0.4259
Rh1 0.0000 0.0000 0.5000


Entry 4:
Below is a relaxed structure of CdCo2ReAu, with properties calculated at the GGA-PBE level.

total magnetic moment = 6.8 μB per cell
DFT total energy = -20.0 eV/f.u.
formation enthalpy at 0 K = 2163 meV/atom
Fermi-level density of states = 1.02 states/eV per atom

a = 4.622 Å, b = 4.622 Å, c = 4.906 Å
α = 90.00°, β = 90.00°, γ = 90.00°
Space group P4/mmm (No. 123)
Asymmetric unit:
Cd1 0.000 0.000 0.000
Co1 0.000 0.500 0.000
Re1 0.500 0.500 0.500
Au1 0.000 0.000 0.500


Entry 5:
Below is a relaxed structure of ReOsIN2, with properties calculated at the GGA-PBE level.

excess energy over the best structure of this formula in the dataset = 222.5 meV/atom
E_form (uncorrected) = 1.7139 eV per atom
total magnetic moment = 3.3 μB per cell
DFT total energy = -33.3 eV/f.u.
Fermi-level density of states = 1.00 states/eV per atom

a = 3.829 Å, b = 3.829 Å, c = 6.216 Å
α = 90.00°, β = 90.00°, γ = 90.00°
Space group P4/mmm (No. 123)
Asymmetric unit:
Re1 0.000 0.000 0.000
Os1 0.500 0.500 0.500
I1 0.500 0.500 0.000
N1 0.000 0.500 0.500


Entry 6:
Below is a relaxed structure of NaZn3B, with properties calculated at the GGA-PBE level.

excess energy over the best structure of this formula in the dataset = 0.0 meV/atom
total magnetic moment = 0.0 μB per cell
DFT total energy = -10.3 eV/f.u.
formation enthalpy at 0 K = 305 meV/atom
Fermi-level density of states = 0.39 states/eV per atom

a = 4.272 Å, b = 4.272 Å, c = 4.272 Å
α = 90.00°, β = 90.00°, γ = 90.00°
Space group Pm-3m (No. 221)
Asymmetric unit:
Na1 0.000 0.000 0.000
Zn1 0.000 0.500 0.500
B1 0.500 0.500 0.500